1.
Here is an optimized crystal structure of MgScRh2 from Alexandria via LeMat-Bulk. Energies are from PBE-GGA.

The structure in POSCAR format:
```
MgScRh2
1.0
4.908 -1.551 0.000
4.908 1.551 0.000
-1.290 0.000 4.298
Mg Sc Rh
1 1 2
Direct
0.000 0.000 0.000
0.779 0.779 0.370
0.257 0.257 0.868
0.519 0.519 0.507
```

Output
Crystal system: monoclinic
M_tot (Bohr magnetons per cell): 0.00
E_tot (eV for the cell shown): -25.16
N(E_F) (states/eV/atom): 0.771


2.
Here is an optimized crystal structure of MgScRh from Alexandria via LeMat-Bulk. Energies are from PBE-GGA.

The structure in POSCAR format:
```
MgScRh
1.0
4.475 0.000 0.000
-2.237 3.875 0.000
0.000 0.000 3.108
Mg Sc Rh
1 1 1
Direct
0.000 0.000 0.000
0.667 0.333 0.561
0.333 0.667 0.281
```

Output
Crystal system: trigonal
M_tot (Bohr magnetons per cell): 0.00
E_tot (eV for the cell shown): -16.73
N(E_F) (states/eV/atom): 0.521


3.
Here is an optimized crystal structure of MgSc2Rh from Alexandria via LeMat-Bulk. Energies are from PBE-GGA.

The structure in POSCAR format:
```
MgSc2Rh
1.0
-3.899 3.899 2.893
3.899 -3.899 2.893
3.899 3.899 -2.893
Mg Sc Rh
2 4 2
Direct
0.000 0.000 0.000
0.750 0.250 0.500
0.187 0.625 0.062
0.375 0.437 0.562
0.563 0.125 0.938
0.875 0.813 0.438
0.250 0.750 0.500
0.500 0.500 0.000
```

Output
Crystal system: tetragonal
M_tot (Bohr magnetons per cell): 1.78
E_tot (eV for the cell shown): -44.68
N(E_F) (states/eV/atom): 1.028


4.
Here is an optimized crystal structure of MgScRh2 from Alexandria via LeMat-Bulk. Energies are from PBE-GGA.

The structure in POSCAR format:
```
MgScRh2
1.0
-1.616 2.144 4.714
1.616 -2.144 4.714
1.616 2.144 -4.714
Mg Sc Rh
1 1 2
Direct
0.000 0.000 0.000
0.725 0.225 0.500
0.243 0.743 0.500
0.487 0.487 0.000
```

Output
Crystal system: orthorhombic
M_tot (Bohr magnetons per cell): 0.00
E_tot (eV for the cell shown): -25.10
N(E_F) (states/eV/atom): 0.880


Among the records above, which one has the highest M_tot? MgSc2Rh


Repeat the fourth record exactly.
Here is an optimized crystal structure of MgScRh2 from Alexandria via LeMat-Bulk. Energies are from PBE-GGA.

The structure in POSCAR format:
```
MgScRh2
1.0
-1.616 2.144 4.714
1.616 -2.144 4.714
1.616 2.144 -4.714
Mg Sc Rh
1 1 2
Direct
0.000 0.000 0.000
0.725 0.225 0.500
0.243 0.743 0.500
0.487 0.487 0.000
```

Output
Crystal system: orthorhombic
M_tot (Bohr magnetons per cell): 0.00
E_tot (eV for the cell shown): -25.10
N(E_F) (states/eV/atom): 0.880